Entry 1:
The following is a PBE-GGA calculation of a relaxed LaSnC2 crystal, from Alexandria via LeMat-Bulk.

Calculated values
**DOS(E_F)**: 3.7 states/eV/cell
**ΔH_f (0 K)**: 0.666 eV/atom
**Energy**: -49.43 eV per cell
**SG**: No. 122

a = 5.7466 Å, b = 5.7466 Å, c = 5.7466 Å
α = 114.20°, β = 114.20°, γ = 100.38°
With the nearest neighbours (Å) after each atom.
Element x y z (fractional)
La: 0.0000 0.0000 0.0000  4 C 2.60
La: 0.7500 0.2500 0.5000  4 C 2.60
Sn: 0.2500 0.7500 0.5000  4 C 2.20
Sn: 0.5000 0.5000 0.0000  4 C 2.20
C: 0.1737 0.6250 0.0487  2 Sn 2.20
C: 0.3750 0.4237 0.5487  2 Sn 2.20
C: 0.5763 0.1250 0.9513  2 Sn 2.20
C: 0.8750 0.8263 0.4513  2 Sn 2.20

---

Entry 2:
The following is a PBE-GGA calculation of a relaxed La4Sn2C crystal, from Alexandria via LeMat-Bulk.

Calculated values
**Energy above the lowest structure with this stoichiometry**: 0 meV/atom
**DOS(E_F)**: 1.9 states/eV/cell
**ΔH_f (0 K)**: -0.545 eV/atom
**Energy**: -40.76 eV per cell
**SG**: No. 139

a = 9.2097 Å, b = 9.2097 Å, c = 9.2097 Å
α = 147.79°, β = 147.79°, γ = 46.20°
With the nearest neighbours (Å) after each atom.
Element x y z (fractional)
La: 0.0000 0.5000 0.5000  2 C 2.56
La: 0.1638 0.1638 0.0000  1 C 2.78
La: 0.5000 0.0000 0.5000  2 C 2.56
La: 0.8362 0.8362 0.0000  1 C 2.78
Sn: 0.3609 0.3609 0.0000  9 La 3.34-3.64
Sn: 0.6391 0.6391 0.0000  9 La 3.34-3.64
C: 0.0000 0.0000 0.0000  6 La 2.56-2.78

---

> What is the ΔH_f (0 K) in the first record?

0.666 eV/atom

---

Copy entry 1 word for word.
The following is a PBE-GGA calculation of a relaxed LaSnC2 crystal, from Alexandria via LeMat-Bulk.

Calculated values
**DOS(E_F)**: 3.7 states/eV/cell
**ΔH_f (0 K)**: 0.666 eV/atom
**Energy**: -49.43 eV per cell
**SG**: No. 122

a = 5.7466 Å, b = 5.7466 Å, c = 5.7466 Å
α = 114.20°, β = 114.20°, γ = 100.38°
With the nearest neighbours (Å) after each atom.
Element x y z (fractional)
La: 0.0000 0.0000 0.0000  4 C 2.60
La: 0.7500 0.2500 0.5000  4 C 2.60
Sn: 0.2500 0.7500 0.5000  4 C 2.20
Sn: 0.5000 0.5000 0.0000  4 C 2.20
C: 0.1737 0.6250 0.0487  2 Sn 2.20
C: 0.3750 0.4237 0.5487  2 Sn 2.20
C: 0.5763 0.1250 0.9513  2 Sn 2.20
C: 0.8750 0.8263 0.4513  2 Sn 2.20